Record 1
First-principles (PBE-GGA) data for a relaxed AlTcO2F crystal, as listed in Alexandria via LeMat-Bulk.

Cell lengths 3.800, 3.800, 3.723 Å; angles 90.00, 90.00, 90.00 degrees
Atoms (fractional coordinates):
Tc 0.500 0.500 0.500
Al 0.000 0.000 0.000
O 0.000 0.500 0.000
O 0.500 0.000 0.000
F 0.000 0.000 0.500

Calculated values
raw formation energy = -1.516 eV per atom
electronic total energy = -6.70 eV per atom
symmetry = P4/mmm, No. 123
density of states at the Fermi level = 0.37 states/eV per cell
calculated density = 5436 kg/m3
calculated volume = 54 Å³/cell

---

Record 2
First-principles (PBE-GGA) data for a relaxed LiLuAlCo crystal, as listed in Alexandria via LeMat-Bulk.

Cell lengths 4.464, 4.464, 4.464 Å; angles 60.00, 60.00, 60.00 degrees
Atoms (fractional coordinates):
Co 0.500 0.500 0.500
Al 0.250 0.250 0.250
Lu 0.750 0.750 0.750
Li 0.000 0.000 0.000

Calculated values
formation energy = -24 kJ per mole of atoms
electronic total energy = -4.57 eV per atom
symmetry = F-43m, No. 216
density of states at the Fermi level = 3.88 states/eV per cell
calculated density = 7071 kg/m3
calculated volume = 63 Å³/cell

---

Copy entry 2 word for word.
First-principles (PBE-GGA) data for a relaxed LiLuAlCo crystal, as listed in Alexandria via LeMat-Bulk.

Cell lengths 4.464, 4.464, 4.464 Å; angles 60.00, 60.00, 60.00 degrees
Atoms (fractional coordinates):
Co 0.500 0.500 0.500
Al 0.250 0.250 0.250
Lu 0.750 0.750 0.750
Li 0.000 0.000 0.000

Calculated values
formation energy = -24 kJ per mole of atoms
electronic total energy = -4.57 eV per atom
symmetry = F-43m, No. 216
density of states at the Fermi level = 3.88 states/eV per cell
calculated density = 7071 kg/m3
calculated volume = 63 Å³/cell